1.
Compound: IrOs
Source: Alexandria
Functional: PBE
Structure: relaxed

Properties
VASP energy = -137.36 eV per cell
DFT formation energy = 1.460 eV/atom
space-group type = P4/m (83)

Lattice parameters (Å, degrees): 11.0106 11.0106 3.9343 90.00 90.00 90.00
Closest atoms and distances in Å follow each position.
Element x y z (fractional)
Ir: 0.7541 0.4162 0.5000  4 Os 2.40-2.46
Ir: 0.2459 0.5838 0.5000  4 Os 2.40-2.46
Ir: 0.5838 0.7541 0.5000  4 Os 2.40-2.46
Ir: 0.4162 0.2459 0.5000  4 Os 2.40-2.46
Ir: 0.9032 0.6267 0.0000  4 Os 2.37-2.45
Ir: 0.0968 0.3733 0.0000  4 Os 2.37-2.45
Ir: 0.3733 0.9032 0.0000  4 Os 2.37-2.45
Ir: 0.6267 0.0968 0.0000  4 Os 2.37-2.45
Os: 0.7730 0.6347 0.5000  4 Ir 2.42-2.46
Os: 0.2270 0.3653 0.5000  4 Ir 2.42-2.46
Os: 0.3653 0.7730 0.5000  4 Ir 2.42-2.46
Os: 0.6347 0.2270 0.5000  4 Ir 2.42-2.46
Os: 0.8782 0.4133 0.0000  4 Ir 2.37-2.45
Os: 0.1218 0.5867 0.0000  4 Ir 2.37-2.45
Os: 0.5867 0.8782 0.0000  4 Ir 2.37-2.45
Os: 0.4133 0.1218 0.0000  4 Ir 2.37-2.45

***

2.
Compound: IrOs2
Source: Alexandria
Functional: PBE
Structure: relaxed

Properties
VASP energy = -62.58 eV per cell
DFT formation energy = 0.011 eV/atom
space-group type = C2/m (12)

Lattice parameters (Å, degrees): 2.7549 5.1622 6.4728 76.83 90.00 74.52
Closest atoms and distances in Å follow each position.
Element x y z (fractional)
Ir: 0.6120 0.7760 0.7239  9 Os 2.69-2.79, 3 Ir 2.72-2.75
Ir: 0.6658 0.6685 0.3317  9 Os 2.69-2.79, 3 Ir 2.72-2.75
Os: 0.9972 0.0055 0.9971  8 Os 2.67-2.75, 4 Ir 2.70-2.77
Os: 0.3356 0.3288 0.6690  5 Ir 2.69-2.79, 7 Os 2.70-2.75
Os: 0.9422 0.1156 0.3865  5 Ir 2.69-2.79, 7 Os 2.70-2.75
Os: 0.2806 0.4389 0.0584  8 Os 2.67-2.75, 4 Ir 2.70-2.77

***

3.
Compound: IrOs4
Source: Alexandria
Functional: PBE
Structure: relaxed

Properties
VASP energy = -53.32 eV per cell
DFT formation energy = 0.092 eV/atom
space-group type = I4/m (87)

Lattice parameters (Å, degrees): 4.7248 4.7248 4.7248 99.62 99.62 131.74
Closest atoms and distances in Å follow each position.
Element x y z (fractional)
Ir: 0.0000 0.0000 0.0000  12 Os 2.73-2.74
Os: 0.5960 0.8019 0.3979  9 Os 2.68-2.77, 3 Ir 2.73-2.74
Os: 0.8019 0.4040 0.2060  9 Os 2.68-2.77, 3 Ir 2.73-2.74
Os: 0.4040 0.1981 0.6021  9 Os 2.68-2.77, 3 Ir 2.73-2.74
Os: 0.1981 0.5960 0.7940  9 Os 2.68-2.77, 3 Ir 2.73-2.74

***

4.
Compound: IrOs5
Source: Alexandria
Functional: PBE
Structure: relaxed

Properties
VASP energy = -59.54 eV per cell
DFT formation energy = 0.912 eV/atom
space-group type = F-43m (216)

Lattice parameters (Å, degrees): 5.0759 5.0759 5.0759 60.00 60.00 60.00
Closest atoms and distances in Å follow each position.
Element x y z (fractional)
Ir: 0.0000 0.0000 0.0000  16 Os 2.98-3.11
Os: 0.6253 0.6253 0.1241  6 Os 2.53-2.54
Os: 0.2500 0.2500 0.2500  12 Os 2.98, 4 Ir 3.11
Os: 0.6253 0.6253 0.6253  6 Os 2.53-2.54
Os: 0.1241 0.6253 0.6253  6 Os 2.53-2.54
Os: 0.6253 0.1241 0.6253  6 Os 2.53-2.54

***

5.
Compound: Ir2Os
Source: Alexandria
Functional: PBE
Structure: relaxed

Properties
VASP energy = -111.28 eV per cell
DFT formation energy = 0.378 eV/atom
space-group type = Imma (74)

Lattice parameters (Å, degrees): 2.7008 3.8729 18.2618 90.00 90.00 90.00
Closest atoms and distances in Å follow each position.
Element x y z (fractional)
Ir: 0.0000 0.2500 0.0481  5 Ir 2.60-2.70, 4 Os 2.65
Ir: 0.0000 0.7500 0.9519  5 Ir 2.60-2.70, 4 Os 2.65
Ir: 0.5000 0.7500 0.5481  5 Ir 2.60-2.70, 4 Os 2.65
Ir: 0.5000 0.2500 0.4519  5 Ir 2.60-2.70, 4 Os 2.65
Ir: 0.0000 0.2500 0.1904  5 Ir 2.56-2.70, 4 Os 2.74
Ir: 0.0000 0.7500 0.8096  5 Ir 2.56-2.70, 4 Os 2.74
Ir: 0.5000 0.7500 0.6904  5 Ir 2.56-2.70, 4 Os 2.74
Ir: 0.5000 0.2500 0.3096  5 Ir 2.56-2.70, 4 Os 2.74
Os: 0.0000 0.2500 0.6143  8 Ir 2.65-2.74, 2 Os 2.70
Os: 0.0000 0.7500 0.3857  8 Ir 2.65-2.74, 2 Os 2.70
Os: 0.5000 0.7500 0.1143  8 Ir 2.65-2.74, 2 Os 2.70
Os: 0.5000 0.2500 0.8857  8 Ir 2.65-2.74, 2 Os 2.70

***

6.
Compound: Ir2Os
Source: Alexandria
Functional: PBE
Structure: relaxed

Properties
VASP energy = -27.60 eV per cell
DFT formation energy = 0.451 eV/atom
space-group type = I4/mmm (139)

Lattice parameters (Å, degrees): 3.3314 4.6805 3.3314 69.15 90.00 110.85
Closest atoms and distances in Å follow each position.
Element x y z (fractional)
Ir: 0.3331 0.6663 0.6669  5 Os 2.69-2.72, 5 Ir 2.70-2.71
Ir: 0.6669 0.3337 0.3331  5 Os 2.69-2.72, 5 Ir 2.70-2.71
Os: 0.0000 0.0000 0.0000  10 Ir 2.69-2.72